CsK2Mo3F12: optimized geometry, PBE with a Hubbard U.

Structure (CIF):
```
data_CsK2Mo3F12
_chemical_formula_sum 'Cs3 K6 Mo9 F36'
_symmetry_space_group_name_H-M 'R -3 m'
_symmetry_Int_Tables_number 166
_symmetry_space_group_name_Hall '-R 3 2"'
_cell_length_a 8.0074
_cell_length_b 8.0074
_cell_length_c 19.6127
_cell_angle_alpha 90.00
_cell_angle_beta 90.00
_cell_angle_gamma 120.00
loop_
_atom_site_label
_atom_site_fract_x
_atom_site_fract_y
_atom_site_fract_z
Cs1 0.0000 0.0000 0.0000
K1 0.0000 0.0000 0.3574
Mo1 0.0000 0.5000 0.5000
F1 0.0587 0.5293 0.3968
F2 0.0784 0.5392 0.8136
```

## Properties
raw total energy = -5.2780 eV/atom